The following is a GGA-PBE calculation of a geometry-optimized ScVCo structure, from Alexandria via LeMat-Bulk.

Values from the calculation:
Energy relative to the elements ... -0.064 eV/atom
Distance to the lowest polymorph of the same formula ... 146 meV per atom
Total moment ... 0.000 μB/atom
Raw total energy ... -7.58 eV per atom

```
data_ScVCo
_symmetry_space_group_name_H-M 'F m m m'
_symmetry_Int_Tables_number 69
_symmetry_space_group_name_Hall '-F 2 2'
_cell_length_a 5.181
_cell_length_b 7.950
_cell_length_c 8.844
_cell_angle_alpha 90.00
_cell_angle_beta 90.00
_cell_angle_gamma 90.00
loop_
_atom_site_label
_atom_site_fract_x
_atom_site_fract_y
_atom_site_fract_z
Sc1 0.000 0.176 0.000
V1 0.000 0.000 0.334
Co1 0.250 0.250 0.250
```